<i>
Compound: SrCdIn2Rh
Source: the Alexandria database
Functional: PBE
Structure: optimized geometry

Summary:
Spin magnetization (μB/cell): 0.0

abc: 5.1885 5.1885 5.6758
angles: 90.00 90.00 90.00
Last column: nearest neighbours and their distance in Å.
Fractional coordinates of all 5 atoms:
Rh  0.0000  0.0000  0.0000  4 In 2.59, 2 Sr 2.84
In  0.5000  0.0000  0.0000  2 Rh 2.59
Cd  0.5000  0.5000  0.5000  4 Sr 3.67, 8 In 3.84
In  0.0000  0.5000  0.0000  2 Rh 2.59
Sr  0.0000  0.0000  0.5000  2 Rh 2.84

---

<ii>
Compound: SrCdIn2Rh
Source: the Alexandria database
Functional: PBE
Structure: optimized geometry

Summary:
Spin magnetization (μB/cell): 0.0

abc: 5.1467 5.1467 5.2669
angles: 90.00 90.00 90.00
Last column: nearest neighbours and their distance in Å.
Fractional coordinates of all 5 atoms:
Cd  0.0000  0.0000  0.5000  2 Rh 2.63
Rh  0.0000  0.0000  0.0000  4 In 2.57, 2 Cd 2.63
In  0.5000  0.0000  0.0000  2 Rh 2.57
Sr  0.5000  0.5000  0.5000  4 Cd 3.64, 8 In 3.68
In  0.0000  0.5000  0.0000  2 Rh 2.57

---

If we sort the structures by their calculated energies, the order from most to least stable is <ii>, <i>.